1.
The following is a DFT calculation (PBE-GGA) of CuAs4Br after structural relaxation.

Unit cell a=8.356 b=8.356 c=8.356 alpha=90.00 beta=90.00 gamma=90.00
Space group F-43m (No. 216)
Symmetry-distinct sites (fractional):
Cu  0.000  0.000  0.000
As  0.106  0.106  0.606
Br  0.250  0.250  0.250

Values from the calculation:
E = -3.605 eV/atom
Density of states at the Fermi level = 11.82 states/eV/cell

---

2.
The following is a DFT calculation (PBE-GGA) of Cu2AsBr after structural relaxation.

Unit cell a=3.195 b=3.794 c=7.304 alpha=90.00 beta=90.00 gamma=90.00
Space group Pmmm (No. 47)
Symmetry-distinct sites (fractional):
Cu  0.000  0.000  0.000
Cu  0.000  0.500  0.500
As  0.500  0.000  0.500
Br  0.500  0.500  0.000

Values from the calculation:
ΔE to the lowest computed polymorph = 0.270 eV/atom
Density of states at the Fermi level = 1.48 states/eV/cell

---

3.
The following is a DFT calculation (PBE-GGA) of CuAs2BrF after structural relaxation.

Unit cell a=4.669 b=4.669 c=4.942 alpha=90.00 beta=90.00 gamma=90.00
Space group P4/mmm (No. 123)
Symmetry-distinct sites (fractional):
Cu  0.000  0.000  0.000
As  0.000  0.500  0.000
Br  0.000  0.000  0.500
F  0.500  0.500  0.500

Values from the calculation:
ΔE to the lowest computed polymorph = 0.000 eV/atom
Density of states at the Fermi level = 2.65 states/eV/cell

---

4.
The following is a DFT calculation (PBE-GGA) of CuAsBr2F after structural relaxation.

Unit cell a=5.575 b=5.575 c=3.830 alpha=90.00 beta=90.00 gamma=90.00
Space group P4/mmm (No. 123)
Symmetry-distinct sites (fractional):
Cu  0.000  0.000  0.000
As  0.500  0.500  0.000
Br  0.000  0.500  0.500
F  0.500  0.500  0.500

Values from the calculation:
ΔE to the lowest computed polymorph = 0.006 eV/atom
Density of states at the Fermi level = 1.02 states/eV/cell

---

5.
The following is a DFT calculation (PBE-GGA) of CuAs2BrF after structural relaxation.

Unit cell a=4.280 b=4.280 c=5.743 alpha=90.00 beta=90.00 gamma=90.00
Space group P4/mmm (No. 123)
Symmetry-distinct sites (fractional):
Cu  0.000  0.000  0.000
As  0.000  0.500  0.500
Br  0.500  0.500  0.000
F  0.500  0.500  0.500

Values from the calculation:
ΔE to the lowest computed polymorph = 0.125 eV/atom
Density of states at the Fermi level = 2.93 states/eV/cell

---

6.
The following is a DFT calculation (PBE-GGA) of CuAsBr2F after structural relaxation.

Unit cell a=4.859 b=4.859 c=4.754 alpha=90.00 beta=90.00 gamma=90.00
Space group P4/mmm (No. 123)
Symmetry-distinct sites (fractional):
Cu  0.000  0.000  0.000
As  0.000  0.000  0.500
Br  0.000  0.500  0.000
F  0.500  0.500  0.500

Values from the calculation:
ΔE to the lowest computed polymorph = 0.000 eV/atom
Density of states at the Fermi level = 4.53 states/eV/cell

---

7.
The following is a DFT calculation (PBE-GGA) of FeCuAsBr2 after structural relaxation.

Unit cell a=5.141 b=5.141 c=4.478 alpha=90.00 beta=90.00 gamma=90.00
Space group P4/mmm (No. 123)
Symmetry-distinct sites (fractional):
Fe  0.000  0.000  0.000
Cu  0.500  0.500  0.500
As  0.000  0.000  0.500
Br  0.000  0.500  0.000

Values from the calculation:
ΔE to the lowest computed polymorph = 0.000 eV/atom
Density of states at the Fermi level = 3.76 states/eV/cell

---

8.
The following is a DFT calculation (PBE-GGA) of GaCuAs2Br after structural relaxation.

Unit cell a=4.546 b=4.546 c=6.726 alpha=90.00 beta=90.00 gamma=90.00
Space group P4/mmm (No. 123)
Symmetry-distinct sites (fractional):
Ga  0.000  0.000  0.000
Cu  0.500  0.500  0.500
As  0.000  0.500  0.500
Br  0.500  0.500  0.000

Values from the calculation:
ΔE to the lowest computed polymorph = 0.000 eV/atom
Density of states at the Fermi level = 3.13 states/eV/cell

---

The records above yield magnetic moment values of 0.0; 0.0; 0.0; 0.0; 0.0; 0.0; 1.6; 0.0 μB/cell, respectively.